(1)
Al2BiB | PBE | relaxed

Geometry as CIF:
```
data_Al2BiB
_space_group_name_H-M_alt 'I -4 2 d'
_space_group_IT_number 122
_space_group_name_Hall 'I -4 2bw'
_cell_length_a 5.8610
_cell_length_b 5.8610
_cell_length_c 10.2168
_cell_angle_alpha 90.00
_cell_angle_beta 90.00
_cell_angle_gamma 90.00
loop_
_atom_site_label
_atom_site_fract_x
_atom_site_fract_y
_atom_site_fract_z
Al1 0.1250 0.2500 0.1250
Bi1 0.0000 0.0000 0.5000
B1 0.0000 0.0000 0.0000
```

## Properties
ΔE_f ... 0.42 eV/atom
Distance to the lowest polymorph of the same formula ... 0 meV per atom
Magnetic moment ... 0.000 μB/f.u.
DOS(E_F) ... 7.6 states/eV per cell
Crystal system ... tetragonal
Energy ... -4.09 eV/atom

***

(2)
Pm2Pr3Tm8 | PBE | relaxed

Geometry as CIF:
```
data_Pm2Pr3Tm8
_space_group_name_H-M_alt 'C 1 2/m 1'
_space_group_IT_number 12
_cell_length_a 20.3706
_cell_length_b 7.6838
_cell_length_c 5.5967
_cell_angle_alpha 90.00
_cell_angle_beta 90.02
_cell_angle_gamma 90.00
loop_
_space_group_symop_operation_xyz
'x,y,z'
'-x,-y,-z'
'-x,y,-z'
'x,-y,z'
'x+1/2,y+1/2,z'
'-x+1/2,-y+1/2,-z'
'-x+1/2,y+1/2,-z'
'x+1/2,-y+1/2,z'
loop_
_atom_site_label
_atom_site_fract_x
_atom_site_fract_y
_atom_site_fract_z
Pm1 0.2408 0.0000 0.4994
Pr1 0.0000 0.0000 0.5000
Pr2 0.0000 0.2939 0.0000
Tm1 0.1095 0.2902 0.5001
Tm2 0.1330 0.0000 0.9997
Tm3 0.1667 0.5000 0.0004
```

## Properties
ΔE_f ... 0.26 eV/atom
Distance to the lowest polymorph of the same formula ... 236 meV per atom
Magnetic moment ... 0.000 μB/f.u.
DOS(E_F) ... 47.2 states/eV per cell
Crystal system ... monoclinic
Energy ... -4.32 eV/atom

***

(3)
AcHoIrAu | PBE | relaxed

Geometry as CIF:
```
data_AcHoIrAu
_space_group_name_H-M_alt 'F -4 3 m'
_space_group_IT_number 216
_space_group_name_Hall 'F -4 2 3'
_cell_length_a 7.3243
_cell_length_b 7.3243
_cell_length_c 7.3243
_cell_angle_alpha 90.00
_cell_angle_beta 90.00
_cell_angle_gamma 90.00
loop_
_atom_site_label
_atom_site_fract_x
_atom_site_fract_y
_atom_site_fract_z
Ac1 0.0000 0.0000 0.0000
Ho1 0.0000 0.0000 0.5000
Ir1 0.2500 0.2500 0.2500
Au1 0.2500 0.2500 0.7500
```

## Properties
ΔE_f ... -0.64 eV/atom
Magnetic moment ... 0.000 μB/f.u.
DOS(E_F) ... 14.5 states/eV per cell
Crystal system ... cubic
Energy ... -5.85 eV/atom

***

(4)
LiHoTe2 | PBE | relaxed

Geometry as CIF:
```
data_LiHoTe2
_space_group_name_H-M_alt 'P 63/m m c'
_space_group_IT_number 194
_space_group_name_Hall '-P 6c 2c'
_cell_length_a 4.2044
_cell_length_b 4.2044
_cell_length_c 14.8113
_cell_angle_alpha 90.00
_cell_angle_beta 90.00
_cell_angle_gamma 120.00
loop_
_atom_site_label
_atom_site_fract_x
_atom_site_fract_y
_atom_site_fract_z
Li1 0.0000 0.0000 0.0000
Ho1 0.0000 0.0000 0.2500
Te1 0.3333 0.6667 0.1201
```

## Properties
Formation energy (no corrections) ... -1.21 eV/atom
Magnetic moment ... 0.000 μB/f.u.
Crystal system ... hexagonal
Energy ... -4.40 eV/atom

***

(5)
TbHoInRu | PBE | relaxed

Geometry as CIF:
```
data_TbHoInRu
_space_group_name_H-M_alt 'F -4 3 m'
_space_group_IT_number 216
_space_group_name_Hall 'F -4 2 3'
_cell_length_a 7.1570
_cell_length_b 7.1570
_cell_length_c 7.1570
_cell_angle_alpha 90.00
_cell_angle_beta 90.00
_cell_angle_gamma 90.00
loop_
_atom_site_label
_atom_site_fract_x
_atom_site_fract_y
_atom_site_fract_z
Tb1 0.0000 0.0000 0.0000
Ho1 0.0000 0.0000 0.5000
In1 0.2500 0.2500 0.7500
Ru1 0.2500 0.2500 0.2500
```

## Properties
ΔE_f ... -0.34 eV/atom
Distance to the lowest polymorph of the same formula ... 126 meV per atom
Magnetic moment ... 0.000 μB/f.u.
DOS(E_F) ... 10.7 states/eV per cell
Crystal system ... cubic
Energy ... -5.64 eV/atom

***

(6)
Pm5Cu4Rh | PBE | relaxed

Geometry as CIF:
```
data_Pm5Cu4Rh
_space_group_name_H-M_alt 'P 4/m m m'
_space_group_IT_number 123
_space_group_name_Hall '-P 4 2'
_cell_length_a 3.5582
_cell_length_b 3.5582
_cell_length_c 17.8071
_cell_angle_alpha 90.00
_cell_angle_beta 90.00
_cell_angle_gamma 90.00
loop_
_atom_site_label
_atom_site_fract_x
_atom_site_fract_y
_atom_site_fract_z
Pm1 0.0000 0.0000 0.0000
Pm2 0.0000 0.0000 0.2019
Pm3 0.0000 0.0000 0.4041
Cu1 0.5000 0.5000 0.1004
Cu2 0.5000 0.5000 0.3008
Rh1 0.5000 0.5000 0.5000
```

## Properties
ΔE_f ... -0.27 eV/atom
Magnetic moment ... 0.000 μB/f.u.
DOS(E_F) ... 7.5 states/eV per cell
Crystal system ... tetragonal
Energy ... -5.02 eV/atom

***

(7)
Zr2AlPt | PBE | relaxed

Geometry as CIF:
```
data_Zr2AlPt
_space_group_name_H-M_alt 'P 4/m m m'
_space_group_IT_number 123
_space_group_name_Hall '-P 4 2'
_cell_length_a 3.0447
_cell_length_b 3.0447
_cell_length_c 8.1282
_cell_angle_alpha 90.00
_cell_angle_beta 90.00
_cell_angle_gamma 90.00
loop_
_atom_site_label
_atom_site_fract_x
_atom_site_fract_y
_atom_site_fract_z
Zr1 0.0000 0.0000 0.2436
Al1 0.5000 0.5000 0.5000
Pt1 0.5000 0.5000 0.0000
```

## Properties
ΔE_f ... -0.68 eV/atom
Magnetic moment ... 0.000 μB/f.u.
DOS(E_F) ... 3.3 states/eV per cell
Crystal system ... tetragonal
Energy ... -7.40 eV/atom

***

(8)
RbBP | PBE | relaxed

Geometry as CIF:
```
data_RbBP
_space_group_name_H-M_alt 'P 1'
_space_group_IT_number 1
_cell_length_a 4.5830
_cell_length_b 6.5180
_cell_length_c 7.0488
_cell_angle_alpha 97.60
_cell_angle_beta 92.18
_cell_angle_gamma 109.70
loop_
_space_group_symop_operation_xyz
'x,y,z'
loop_
_atom_site_label
_atom_site_fract_x
_atom_site_fract_y
_atom_site_fract_z
Rb1 0.0000 0.0000 0.0000
Rb2 0.1128 0.4992 0.4903
B1 0.5933 0.4590 0.1452
B2 0.8983 0.4800 0.0377
P1 0.3336 0.5930 0.0286
P2 0.5743 0.4066 0.8314
```

## Properties
ΔE_f ... 0.05 eV/atom
Distance to the lowest polymorph of the same formula ... 281 meV per atom
Magnetic moment ... 0.000 μB/f.u.
Crystal system ... triclinic
Energy ... -4.30 eV/atom